DFT (GGA+U) results for crystalline Rb2Ni3PdF12 at its relaxed geometry.

## Properties
calculated volume	282.2	Å³/f.u.
total DFT energy (no corrections)	-4.172	eV per atom
space-group type	No. 166
size of the total moment	5.916	μB per cell

Lattice parameters (Å, degrees): 7.4502 7.4502 7.4502 58.47 58.47 58.47
Closest atoms and distances in Å follow each position.
Sites, in units of the cell vectors:
Rb1 0.6074 0.6074 0.6074  3 F 2.94
Rb2 0.3926 0.3926 0.3926  3 F 2.94
Ni1 0.5000 0.0000 0.0000  6 F 1.98-2.09
Ni2 0.0000 0.5000 0.0000  6 F 1.98-2.09
Ni3 0.0000 0.0000 0.5000  6 F 1.98-2.09
Pd1 0.0000 0.0000 0.0000  6 F 1.96
F1 0.3252 0.3252 0.9255  2 Ni 1.98
F2 0.9247 0.9247 0.3194  1 Pd 1.96, 1 Ni 2.09
F3 0.3194 0.9247 0.9247  1 Pd 1.96, 1 Ni 2.09
F4 0.9255 0.3252 0.3252  2 Ni 1.98
F5 0.9247 0.3194 0.9247  1 Pd 1.96, 1 Ni 2.09
F6 0.3252 0.9255 0.3252  2 Ni 1.98
F7 0.6748 0.6748 0.0745  2 Ni 1.98
F8 0.0753 0.0753 0.6806  1 Pd 1.96, 1 Ni 2.09
F9 0.6806 0.0753 0.0753  1 Pd 1.96, 1 Ni 2.09
F10 0.0745 0.6748 0.6748  2 Ni 1.98
F11 0.0753 0.6806 0.0753  1 Pd 1.96, 1 Ni 2.09
F12 0.6748 0.0745 0.6748  2 Ni 1.98